Here is a geometry-optimized HoHgBi structure from Alexandria via LeMat-Bulk. Energies are from PBE.

POSCAR file:
```
HoHgBi
1.0
-1.5486 0.2774 -5.0943
-4.4935 -2.4116 -1.5554
-6.1946 6.0220 -0.5791
Ho Hg Bi
2 2 2
Direct
0.2305 0.2305 0.3084 Ho
0.7695 0.7695 0.6916 Ho
0.3603 0.3603 0.9191 Hg
0.6397 0.6397 0.0809 Hg
0.8990 0.8990 0.3030 Bi
0.1010 0.1010 0.6970 Bi
```

Values from the calculation:
**Energy**: -9.793 eV/f.u.
**Formation energy**: -0.34 eV per atom
**Calculated volume**: 199.2 Å³/cell
**D(E_F)**: 0.1177 states/eV/atom
**SG**: R-3m
**Distance to the lowest polymorph of the same formula**: 69 meV/atom

---

Here is a geometry-optimized Mg2SbRh structure from Alexandria via LeMat-Bulk. Energies are from PBE.

POSCAR file:
```
Mg2SbRh
1.0
-3.0401 3.5541 0.4869
-3.2760 -0.1532 3.3697
0.3109 2.8678 3.7134
Mg Rh Sb
2 1 1
Direct
0.0000 0.0000 0.0000 Mg
0.2500 0.2500 0.2500 Mg
0.5000 0.5000 0.5000 Rh
0.7500 0.7500 0.7500 Sb
```

Values from the calculation:
**Energy**: -15.759 eV/f.u.
**Calculated volume**: 73.5 Å³/cell
**D(E_F)**: 0.2631 states/eV/atom
**SG**: F-43m

---

Here is a geometry-optimized Pm5InPb3 structure from Alexandria via LeMat-Bulk. Energies are from PBE.

POSCAR file:
```
Pm5InPb3
1.0
-4.5497 3.3565 -3.6420
0.7679 -6.6050 -7.0465
-6.5267 -1.1856 7.0607
Pm Pb In
10 6 2
Direct
0.0000 0.6667 0.3333 Pm
0.5000 0.3333 0.6667 Pm
0.7500 0.2762 0.0000 Pm
0.0000 0.3333 0.6667 Pm
0.5000 0.6667 0.3333 Pm
0.2500 0.0000 0.7238 Pm
0.2500 0.7238 0.0000 Pm
0.7500 0.0000 0.2762 Pm
0.2500 0.2762 0.2762 Pm
0.7500 0.7238 0.7238 Pm
0.2500 0.3766 0.0000 Pb
0.7500 0.0000 0.6234 Pb
0.2500 0.0000 0.3766 Pb
0.7500 0.3765 0.3766 Pb
0.2500 0.6235 0.6234 Pb
0.7500 0.6234 0.0000 Pb
0.5000 0.0000 0.0000 In
0.0000 0.0000 0.0000 In
```

Values from the calculation:
**Energy**: -42.436 eV/f.u.
**Formation energy**: -0.54 eV per atom
**Calculated volume**: 546.7 Å³/cell
**D(E_F)**: 1.2261 states/eV/atom
**SG**: P6_3/mcm

---

Here is a geometry-optimized HfZr4In5 structure from Alexandria via LeMat-Bulk. Energies are from PBE.

POSCAR file:
```
HfZr4In5
1.0
-4.3615 -5.4347 -2.2925
0.8149 -4.7689 9.7548
-4.9313 3.1369 1.9455
Zr In Hf
8 10 2
Direct
0.5063 0.2560 0.5000 Zr
0.2171 0.0000 0.7598 Zr
0.5063 0.7440 0.5000 Zr
0.7829 0.5000 0.2598 Zr
0.2171 0.0000 0.2402 Zr
0.4937 0.7560 0.0000 Zr
0.7829 0.5000 0.7402 Zr
0.4937 0.2440 0.0000 Zr
0.1519 0.6725 0.2497 In
0.5669 0.0000 0.5000 In
0.8481 0.8275 0.2503 In
0.4331 0.5000 0.0000 In
0.1519 0.6725 0.7503 In
0.1519 0.3275 0.2497 In
0.1519 0.3275 0.7503 In
0.8481 0.8275 0.7497 In
0.8481 0.1725 0.7497 In
0.8481 0.1725 0.2503 In
0.3947 0.5000 0.5000 Hf
0.6053 0.0000 0.0000 Hf
```

Values from the calculation:
**Energy**: -56.576 eV/f.u.
**Formation energy**: 0.13 eV per atom
**Calculated volume**: 492.0 Å³/cell
**D(E_F)**: 1.0160 states/eV/atom
**SG**: Pmmn
**Distance to the lowest polymorph of the same formula**: 291 meV/atom

---

Here is a geometry-optimized RbLaCdB2 structure from Alexandria via LeMat-Bulk. Energies are from PBE.

POSCAR file:
```
RbLaCdB2
1.0
4.6825 0.0000 0.0000
0.0000 5.7492 0.0000
0.0000 0.0000 4.6825
B La Rb Cd
2 1 1 1
Direct
0.5000 0.0000 0.0000 B
0.0000 0.0000 0.5000 B
0.0000 0.5000 0.0000 La
0.5000 0.5000 0.5000 Rb
0.0000 0.0000 0.0000 Cd
```

Values from the calculation:
**Energy**: -12.302 eV/f.u.
**Formation energy**: 1.57 eV per atom
**Calculated volume**: 126.1 Å³/cell
**D(E_F)**: 0.7530 states/eV/atom
**SG**: P4/mmm

---

Here is a geometry-optimized Ce3DyY2P6 structure from Alexandria via LeMat-Bulk. Energies are from PBE.

POSCAR file:
```
Ce3DyY2P6
1.0
-0.7027 1.5411 6.8112
-1.3828 -6.4883 -2.2917
6.9851 -0.0565 -0.4720
P Y Ce Dy
6 2 3 1
Direct
0.5846 0.9175 0.7526 P
0.2504 0.2504 0.7525 P
0.0825 0.4154 0.2474 P
0.7496 0.7496 0.2475 P
0.4154 0.0825 0.2474 P
0.9175 0.5846 0.7526 P
0.3334 0.6666 0.0000 Y
0.6666 0.3334 0.0000 Y
0.5000 0.5000 0.5000 Ce
0.1667 0.8333 0.5000 Ce
0.8333 0.1667 0.5000 Ce
0.0000 0.0000 0.0000 Dy
```

Values from the calculation:
**Energy**: -86.572 eV/f.u.
**Formation energy**: -1.57 eV per atom
**Calculated volume**: 281.5 Å³/cell
**D(E_F)**: 1.1268 states/eV/atom
**SG**: C2/m

---

Here is a geometry-optimized KScC structure from Alexandria via LeMat-Bulk. Energies are from PBE.

POSCAR file:
```
KScC
1.0
-0.8058 -1.1988 4.1180
1.4934 2.4211 3.3094
-2.7819 2.3122 2.4410
K Sc C
1 1 1
Direct
0.2500 0.2500 0.2500 K
0.7500 0.7500 0.7500 Sc
0.5000 0.5000 0.5000 C
```

Values from the calculation:
**Energy**: -13.387 eV/f.u.
**Formation energy**: 1.09 eV per atom
**Calculated volume**: 58.8 Å³/cell
**D(E_F)**: 0.0000 states/eV/atom
**SG**: F-43m
**Distance to the lowest polymorph of the same formula**: 1127 meV/atom

---

Here is a geometry-optimized UBr4 structure from Alexandria via LeMat-Bulk. Energies are from PBE.

POSCAR file:
```
UBr4
1.0
-3.0364 1.6900 7.4470
-3.4100 -5.1824 3.7637
5.7622 -1.4169 7.2052
Br U
8 2
Direct
0.2716 0.8001 0.8874 Br
0.0627 0.7492 0.3534 Br
0.5839 0.7508 0.3534 Br
0.1590 0.3001 0.1126 Br
0.7284 0.1999 0.1126 Br
0.4161 0.2492 0.6466 Br
0.8410 0.6999 0.8874 Br
0.9373 0.2508 0.6466 Br
0.9298 0.7500 0.1404 U
0.0702 0.2500 0.8596 U
```

Values from the calculation:
**Energy**: -24.439 eV/f.u.
**Calculated volume**: 433.7 Å³/cell
**D(E_F)**: 0.5175 states/eV/atom
**SG**: C2/c

---

Here is a geometry-optimized CaNiAsH structure from Alexandria via LeMat-Bulk. Energies are from PBE.

POSCAR file:
```
CaNiAsH
1.0
3.9773 0.0000 0.0000
0.0000 3.9773 0.0000
0.0000 0.0000 7.6743
H As Ca Ni
2 2 2 2
Direct
0.0000 0.0000 0.5000 H
0.5000 0.5000 0.5000 H
0.5000 0.0000 0.1658 As
0.0000 0.5000 0.8342 As
0.0000 0.5000 0.3453 Ca
0.5000 0.0000 0.6547 Ca
0.5000 0.5000 0.0000 Ni
0.0000 0.0000 0.0000 Ni
```

Values from the calculation:
**Energy**: -18.443 eV/f.u.
**Calculated volume**: 121.4 Å³/cell
**D(E_F)**: 0.3823 states/eV/atom
**SG**: P4/nmm

---

Here is a geometry-optimized Ta3ZnSn structure from Alexandria via LeMat-Bulk. Energies are from PBE.

POSCAR file:
```
Ta3ZnSn
1.0
4.7096 0.0000 0.0000
0.0000 4.7096 0.0000
0.0000 0.0000 4.7096
Sn Ta Zn
1 3 1
Direct
0.5000 0.5000 0.5000 Sn
0.0000 0.0000 0.5000 Ta
0.0000 0.5000 0.0000 Ta
0.5000 0.0000 0.0000 Ta
0.0000 0.0000 0.0000 Zn
```

Values from the calculation:
**Energy**: -35.265 eV/f.u.
**Formation energy**: 1.11 eV per atom
**Calculated volume**: 104.5 Å³/cell
**D(E_F)**: 1.5169 states/eV/atom
**SG**: Pm-3m
**Distance to the lowest polymorph of the same formula**: 0 meV/atom

---

Here is a geometry-optimized TbPrNd2Sm5 structure from Alexandria via LeMat-Bulk. Energies are from PBE.

POSCAR file:
```
TbPrNd2Sm5
1.0
8.8574 0.0000 0.0000
0.0000 8.8574 0.0000
-4.4287 -4.4287 7.9160
Sm Nd Tb Pr
10 4 2 2
Direct
0.5000 0.5000 0.0000 Sm
0.1531 0.0710 0.7240 Sm
0.3469 0.8469 0.2760 Sm
0.9290 0.4290 0.2760 Sm
0.0000 0.0000 0.0000 Sm
0.6531 0.1531 0.7240 Sm
0.8469 0.9290 0.2760 Sm
0.4290 0.3469 0.2760 Sm
0.5710 0.6531 0.7240 Sm
0.0710 0.5710 0.7240 Sm
0.6176 0.1176 0.0000 Nd
0.3824 0.8824 0.0000 Nd
0.1176 0.3824 0.0000 Nd
0.8824 0.6176 0.0000 Nd
0.2500 0.7500 0.5000 Tb
0.7500 0.2500 0.5000 Tb
0.2500 0.2500 0.5000 Pr
0.7500 0.7500 0.5000 Pr
```

Values from the calculation:
**Energy**: -40.178 eV/f.u.
**Formation energy**: 0.26 eV per atom
**Calculated volume**: 621.0 Å³/cell
**D(E_F)**: 1.3495 states/eV/atom
**SG**: I4/mcm

---

Here is a geometry-optimized AcMnS2 structure from Alexandria via LeMat-Bulk. Energies are from PBE.

POSCAR file:
```
AcMnS2
1.0
-2.1014 2.8344 1.7271
-3.4248 -0.8644 1.7192
0.8588 -0.3202 6.0380
S Mn Ac
2 1 1
Direct
0.7229 0.7229 0.8314 S
0.2771 0.2771 0.1686 S
0.0000 0.0000 0.0000 Mn
0.5000 0.5000 0.5000 Ac
```

Values from the calculation:
**Energy**: -25.295 eV/f.u.
**Calculated volume**: 75.8 Å³/cell
**D(E_F)**: 0.3409 states/eV/atom
**SG**: R-3m

---

Which value of energy does entry 1 give?
-9.793 eV/f.u.

---

What is the D(E_F) in the fourth record?
1.0160 states/eV/atom

---

Among the records above, which one has the lowest D(E_F)?
KScC